Material: La6Ir2AuCl3
Method: DFT, GGA-PBE
State: optimized geometry

a b c (Å): 7.369 12.791 7.982
angles (deg): 90.00 107.78 90.00
Space group C2/m (No. 12)
Asymmetric unit:
La 0.216 0.000 0.209 [4 per cell]
La 0.245 0.324 0.208 [8 per cell]
Ir 0.000 0.166 0.000 [4 per cell]
Au 0.000 0.500 0.000 [2 per cell]
Cl 0.000 0.000 0.500 [2 per cell]
Cl 0.000 0.330 0.500 [4 per cell]

D(E_F): 9.48 states/eV/f.u.
Formation energy (no corrections): -1287 meV per atom
Crystal system: monoclinic
M_tot: 0.00 μB per formula unit

Material: LaNbOs2Se
Method: DFT, GGA-PBE
State: optimized geometry

a b c (Å): 4.821 4.821 5.060
angles (deg): 90.00 90.00 90.00
Space group P4/mmm (No. 123)
Asymmetric unit:
La 0.000 0.000 0.000 [1 per cell]
Nb 0.500 0.500 0.500 [1 per cell]
Os 0.000 0.500 0.500 [2 per cell]
Se 0.500 0.500 0.000 [1 per cell]

D(E_F): 4.98 states/eV/f.u.
Formation energy (no corrections): 562 meV per atom
Crystal system: tetragonal
M_tot: 0.00 μB per formula unit

Material: YInPd
Method: DFT, GGA-PBE
State: optimized geometry

a b c (Å): 4.7047 4.7047 3.5640
angles (deg): 90.00 90.00 120.00
Space group P-6m2 (No. 187)
Asymmetric unit:
Y 0.0000 0.0000 0.0000 [1 per cell]
In 0.3333 0.6667 0.5000 [1 per cell]
Pd 0.6667 0.3333 0.5000 [1 per cell]

D(E_F): 2.67 states/eV/f.u.
Crystal system: hexagonal
M_tot: 0.00 μB per formula unit
DFT formation energy: -0.70 eV per atom

Copy entry 1 word for word.
Material: La6Ir2AuCl3
Method: DFT, GGA-PBE
State: optimized geometry

a b c (Å): 7.369 12.791 7.982
angles (deg): 90.00 107.78 90.00
Space group C2/m (No. 12)
Asymmetric unit:
La 0.216 0.000 0.209 [4 per cell]
La 0.245 0.324 0.208 [8 per cell]
Ir 0.000 0.166 0.000 [4 per cell]
Au 0.000 0.500 0.000 [2 per cell]
Cl 0.000 0.000 0.500 [2 per cell]
Cl 0.000 0.330 0.500 [4 per cell]

D(E_F): 9.48 states/eV/f.u.
Formation energy (no corrections): -1287 meV per atom
Crystal system: monoclinic
M_tot: 0.00 μB per formula unit

The highest D(E_F) belongs to which entry? La6Ir2AuCl3

What is the D(E_F) in the first record? 9.48 states/eV/f.u.